[1]
First-principles (PBE-GGA) data for a relaxed structure of Pr6As2Se3I, as listed in Alexandria.

## Properties
uncorrected formation energy: -19.17 eV per formula unit

a = 9.6559 Å, b = 9.6559 Å, c = 8.7073 Å
α = 102.11°, β = 102.11°, γ = 25.87°
Element x y z (fractional)
1 Pr 0.0065 0.0065 0.2836
2 Pr 0.3196 0.3196 0.8968
3 Pr 0.3308 0.3308 0.4216
4 Pr 0.6692 0.6692 0.5784
5 Pr 0.6804 0.6804 0.1032
6 Pr 0.9935 0.9935 0.7164
7 As 0.1676 0.1676 0.3336
8 As 0.8324 0.8324 0.6664
9 Se 0.1591 0.1591 0.8356
10 Se 0.5000 0.5000 0.5000
11 Se 0.8409 0.8409 0.1644
12 I 0.5000 0.5000 0.0000

***

[2]
First-principles (PBE-GGA) data for a relaxed structure of CsLiYBr6, as listed in Alexandria.

## Properties
uncorrected formation energy: -13.41 eV per formula unit

a = 7.1035 Å, b = 7.1035 Å, c = 8.4464 Å
α = 90.04°, β = 90.04°, γ = 120.23°
Element x y z (fractional)
1 Cs 0.0000 0.0000 0.0000
2 Li 0.3342 0.6658 0.5000
3 Y 0.6665 0.3335 0.5000
4 Br 0.0041 0.3740 0.3043
5 Br 0.0059 0.6308 0.6962
6 Br 0.3692 0.9941 0.3038
7 Br 0.3703 0.3745 0.6958
8 Br 0.6255 0.6297 0.3042
9 Br 0.6260 0.9959 0.6957

***

[3]
First-principles (PBE-GGA) data for a relaxed structure of CaAcPm2Bi4, as listed in Alexandria.

## Properties
E_form: -0.862 eV/atom

a = 8.0237 Å, b = 4.6653 Å, c = 8.1973 Å
α = 90.00°, β = 109.24°, γ = 90.00°
Element x y z (fractional)
1 Ca 0.0000 0.0000 0.0000
2 Ac 0.5000 0.5000 0.0000
3 Pm 0.0000 0.5000 0.5000
4 Pm 0.5000 0.0000 0.5000
5 Bi 0.2400 0.0000 0.7364
6 Bi 0.2481 0.5000 0.2599
7 Bi 0.7519 0.5000 0.7401
8 Bi 0.7600 0.0000 0.2636

***

[4]
First-principles (PBE-GGA) data for a relaxed structure of Tl5Sn3Cl12, as listed in Alexandria.

## Properties
excess energy over the best structure of this formula in the dataset: 0.000 eV/f.u.
uncorrected formation energy: -19.80 eV per formula unit

a = 13.1785 Å, b = 13.1785 Å, c = 4.3414 Å
α = 90.00°, β = 90.00°, γ = 120.00°
Element x y z (fractional)
1 Tl 0.0000 0.2907 0.0000
2 Tl 0.2907 0.0000 0.0000
3 Tl 0.3333 0.6667 0.0000
4 Tl 0.6667 0.3333 0.0000
5 Tl 0.7093 0.7093 0.0000
6 Sn 0.0000 0.6685 0.5000
7 Sn 0.3315 0.3315 0.5000
8 Sn 0.6685 0.0000 0.5000
9 Cl 0.0000 0.5320 0.0000
10 Cl 0.0000 0.8068 0.0000
11 Cl 0.1932 0.1932 0.0000
12 Cl 0.2049 0.4479 0.5000
13 Cl 0.2430 0.7951 0.5000
14 Cl 0.4479 0.2049 0.5000
15 Cl 0.4680 0.4680 0.0000
16 Cl 0.5320 0.0000 0.0000
17 Cl 0.5521 0.7570 0.5000
18 Cl 0.7570 0.5521 0.5000
19 Cl 0.7951 0.2430 0.5000
20 Cl 0.8068 0.0000 0.0000

***

[5]
First-principles (PBE-GGA) data for a relaxed structure of AcPd6Au2, as listed in Alexandria.

## Properties
E_form: 0.105 eV/atom

a = 8.3119 Å, b = 8.3119 Å, c = 8.3119 Å
α = 60.00°, β = 60.00°, γ = 60.00°
Element x y z (fractional)
1 Ac 0.1250 0.1250 0.1250
2 Ac 0.8750 0.8750 0.8750
3 Pd 0.1107 0.1107 0.6393
4 Pd 0.1107 0.6393 0.1107
5 Pd 0.1107 0.6393 0.6393
6 Pd 0.3607 0.3607 0.8893
7 Pd 0.3607 0.8893 0.3607
8 Pd 0.3607 0.8893 0.8893
9 Pd 0.6393 0.1107 0.1107
10 Pd 0.6393 0.1107 0.6393
11 Pd 0.6393 0.6393 0.1107
12 Pd 0.8893 0.3607 0.3607
13 Pd 0.8893 0.3607 0.8893
14 Pd 0.8893 0.8893 0.3607
15 Au 0.0000 0.5000 0.5000
16 Au 0.5000 0.0000 0.5000
17 Au 0.5000 0.5000 0.0000
18 Au 0.5000 0.5000 0.5000

***

[6]
First-principles (PBE-GGA) data for a relaxed structure of CoTcRu2, as listed in Alexandria.

## Properties
E_form: 0.165 eV/atom
excess energy over the best structure of this formula in the dataset: 0.313 eV/f.u.

a = 8.7472 Å, b = 8.7472 Å, c = 8.7472 Å
α = 17.69°, β = 17.69°, γ = 17.69°
Element x y z (fractional)
1 Co 0.0000 0.0000 0.0000
2 Tc 0.7483 0.7483 0.7483
3 Ru 0.2523 0.2523 0.2523
4 Ru 0.5004 0.5004 0.5004